Compound: YMgGa4Pt2
Source: OQMD via LeMat-Bulk
Functional: GGA-PBE
Structure: relaxed

Calculated values
**Space group**: Amm2, No. 38
**Mass density**: 8.962 g/cm³
**Energy**: -38.26 eV/cell

Structure (POSCAR):
```
YMgGa4Pt2
1.0
-3.470 3.635 4.682
-3.047 -4.310 1.088
0.460 -4.071 3.501
Pt Mg Ga Y
2 1 4 1
Cartesian
-3.781 -4.814 5.972
-0.527 -1.707 0.935
-2.384 -7.724 4.230
-4.434 -2.395 6.681
-3.399 -0.523 4.992
-2.319 -4.610 3.827
-1.975 -2.015 3.071
-1.935 1.168 2.697
```